(1)
MgCd2Co: relaxed, PBE.

Summary:
Formation energy from the elements (eV per atom): 0.12

Cell: 3.099 3.110 7.466 Å, 90.00 90.07 90.00°
Space group Pm (No. 6)
Unique sites:
Mg 0.000 0.000 0.000
Cd 0.500 0.500 0.292
Cd 0.999 0.000 0.595
Co 0.500 0.500 0.809

***

(2)
LiPmAlPt2: relaxed, PBE.

Summary:
Formation energy from the elements (eV per atom): -0.97

Cell: 3.918 3.918 12.180 Å, 90.00 90.00 90.00°
Space group I-4m2 (No. 119)
Unique sites:
Li 0.000 0.000 0.000
Pm 0.000 0.500 0.250
Al 0.000 0.000 0.500
Pt 0.000 0.500 0.635

***

(3)
Pu2ScSe5: relaxed, PBE.

Summary:
ΔE_f (raw) (eV per atom): -1.268

Cell: 5.387 9.250 15.403 Å, 90.00 90.00 90.00°
Space group Fmmm (No. 69)
Unique sites:
Pu 0.000 0.000 0.179
Sc 0.000 0.000 0.500
Se 0.000 0.000 0.000
Se 0.000 0.163 0.348

***

(4)
TbPm4NdDy2: relaxed, PBE.

Summary:
Formation energy from the elements (eV per atom): 0.40

Cell: 13.750 13.309 6.878 Å, 90.00 119.97 90.00°
Space group C2/c (No. 15)
Unique sites:
Tb 0.000 0.000 0.000
Pm 0.000 0.251 0.000
Pm 0.250 0.002 0.034
Nd 0.250 0.250 0.500
Dy 0.000 0.500 0.000
Dy 0.250 0.250 0.000

***

(5)
LiHf3Br: relaxed, PBE.

Summary:
ΔE_f (raw) (eV per atom): 0.720
Excess energy over the best structure of this formula in the dataset (meV/atom): 0.0

Cell: 4.965 4.965 4.965 Å, 90.00 90.00 90.00°
Space group Pm-3m (No. 221)
Unique sites:
Li 0.000 0.000 0.000
Hf 0.000 0.500 0.500
Br 0.500 0.500 0.500

***

(6)
GaCuAsBr2: relaxed, PBE.

Summary:
ΔE_f (raw) (eV per atom): 0.480
Excess energy over the best structure of this formula in the dataset (meV/atom): 335.0

Cell: 5.223 5.223 5.089 Å, 90.00 90.00 90.00°
Space group P4/mmm (No. 123)
Unique sites:
Ga 0.000 0.000 0.000
Cu 0.500 0.500 0.500
As 0.000 0.000 0.500
Br 0.000 0.500 0.000

***

M_tot, respectively: 0.00, 0.00, 38.01, 0.01, 0.00, 1.59 μB per cell.